## Cu5GeTe4I2 (PBE-GGA)

Data for crystalline Cu5GeTe4I2 at its relaxed geometry.

Properties
The value obtained for the uncorrected formation energy is -0.014 eV/atom. The density of states at the Fermi level is 0.589 states/eV/atom. The volume is 26.46 Å³/atom. The calculation puts the calculated total energy at -3.41 eV/atom.

Structure (CIF):
```
data_Cu5GeTe4I2
_chemical_formula_sum 'Cu5 Ge1 Te4 I2'
_cell_length_a 6.5231
_cell_length_b 6.9170
_cell_length_c 7.9790
_cell_angle_alpha 90.00
_cell_angle_beta 90.00
_cell_angle_gamma 118.13
_space_group_name_H-M_alt 'P 1'
_space_group_IT_number 1
_space_group_name_Hall 'P 1'
loop_
_atom_site_label
_atom_site_type_symbol
_atom_site_fract_x
_atom_site_fract_y
_atom_site_fract_z
Cu1 Cu 0.0634 0.3279 0.2097
Cu2 Cu 0.3910 0.0000 0.5000
Cu3 Cu 0.0634 0.3279 0.7903
Cu4 Cu 0.7355 0.6721 0.7903
Cu5 Cu 0.7355 0.6721 0.2097
Ge1 Ge 0.4266 0.0000 0.0000
Te1 Te 0.6640 0.0000 0.2626
Te2 Te 0.6640 0.0000 0.7374
Te3 Te 0.3959 0.3728 0.0000
Te4 Te 0.0231 0.6272 0.0000
I1 I 0.9568 0.6705 0.5000
I2 I 0.2864 0.3295 0.5000
```

***

## NaSiMo3 (PBE-GGA)

Data for crystalline NaSiMo3 at its relaxed geometry.

Properties
The value obtained for the energy above the lowest structure with this stoichiometry is 1.366 eV per atom. The value obtained for the uncorrected formation energy is 2.608 eV/atom. The density of states at the Fermi level is 0.746 states/eV/atom. The volume is 18.23 Å³/atom. The calculation puts the calculated total energy at -5.24 eV/atom.

Structure (CIF):
```
data_NaSiMo3
_chemical_formula_sum 'Na1 Si1 Mo3'
_cell_length_a 4.5004
_cell_length_b 4.5004
_cell_length_c 4.5004
_cell_angle_alpha 90.00
_cell_angle_beta 90.00
_cell_angle_gamma 90.00
_space_group_name_H-M_alt 'P 1'
_space_group_IT_number 1
_space_group_name_Hall 'P 1'
loop_
_atom_site_label
_atom_site_type_symbol
_atom_site_fract_x
_atom_site_fract_y
_atom_site_fract_z
Na1 Na 0.0000 0.0000 0.0000
Mo1 Mo 0.0000 0.5000 0.0000
Mo2 Mo 0.0000 0.0000 0.5000
Mo3 Mo 0.5000 0.0000 0.0000
Si1 Si 0.5000 0.5000 0.5000
```

***

## KAl2Hg (PBE-GGA)

Data for crystalline KAl2Hg at its relaxed geometry.

Properties
The density of states at the Fermi level is 0.669 states/eV/atom. The volume is 26.49 Å³/atom. Its energy relative to the elements is 358 meV per atom. The calculation puts the calculated total energy at -1.86 eV/atom.

Structure (CIF):
```
data_KAl2Hg
_chemical_formula_sum 'K1 Al2 Hg1'
_cell_length_a 6.2579
_cell_length_b 6.2579
_cell_length_c 6.2579
_cell_angle_alpha 138.63
_cell_angle_beta 138.63
_cell_angle_gamma 59.94
_space_group_name_H-M_alt 'P 1'
_space_group_IT_number 1
_space_group_name_Hall 'P 1'
loop_
_atom_site_label
_atom_site_type_symbol
_atom_site_fract_x
_atom_site_fract_y
_atom_site_fract_z
K1 K 0.7500 0.2500 0.5000
Hg1 Hg 0.2500 0.7500 0.5000
Al1 Al 0.0000 0.0000 0.0000
Al2 Al 0.5000 0.5000 0.0000
```

***

## KCu2Tc (PBE-GGA)

Data for crystalline KCu2Tc at its relaxed geometry.

Properties
The value obtained for the energy above the lowest structure with this stoichiometry is 0.729 eV per atom. The density of states at the Fermi level is 0.639 states/eV/atom. The volume is 17.57 Å³/atom. Its energy relative to the elements is 1294 meV per atom. The calculation puts the calculated total energy at -3.62 eV/atom.

Structure (CIF):
```
data_KCu2Tc
_chemical_formula_sum 'K1 Cu2 Tc1'
_cell_length_a 4.6318
_cell_length_b 4.6318
_cell_length_c 4.6318
_cell_angle_alpha 60.00
_cell_angle_beta 60.00
_cell_angle_gamma 60.00
_space_group_name_H-M_alt 'P 1'
_space_group_IT_number 1
_space_group_name_Hall 'P 1'
loop_
_atom_site_label
_atom_site_type_symbol
_atom_site_fract_x
_atom_site_fract_y
_atom_site_fract_z
Cu1 Cu 0.0000 0.0000 0.0000
Cu2 Cu 0.2500 0.2500 0.2500
K1 K 0.5000 0.5000 0.5000
Tc1 Tc 0.7500 0.7500 0.7500
```

***

## V2B4Mo (PBE-GGA)

Data for crystalline V2B4Mo at its relaxed geometry.

Properties
The value obtained for the energy above the lowest structure with this stoichiometry is 0.000 eV per atom. The density of states at the Fermi level is 0.431 states/eV/atom. The volume is 8.97 Å³/atom. Its energy relative to the elements is -662 meV per atom. The calculation puts the calculated total energy at -8.63 eV/atom.

Structure (CIF):
```
data_V2B4Mo
_chemical_formula_sum 'V2 B4 Mo1'
_cell_length_a 3.0220
_cell_length_b 3.1032
_cell_length_c 7.0345
_cell_angle_alpha 102.74
_cell_angle_beta 102.40
_cell_angle_gamma 90.00
_space_group_name_H-M_alt 'P 1'
_space_group_IT_number 1
_space_group_name_Hall 'P 1'
loop_
_atom_site_label
_atom_site_type_symbol
_atom_site_fract_x
_atom_site_fract_y
_atom_site_fract_z
Mo1 Mo 0.5000 0.0000 0.0000
B1 B 0.6405 0.6405 0.2810
B2 B 0.3595 0.3595 0.7190
B3 B 0.0688 0.5688 0.1377
B4 B 0.9312 0.4312 0.8623
V1 V 0.8125 0.8125 0.6250
V2 V 0.1875 0.1875 0.3750
```

***

## LiGe2Te2 (PBE-GGA)

Data for crystalline LiGe2Te2 at its relaxed geometry.

Properties
The value obtained for the energy above the lowest structure with this stoichiometry is 0.057 eV per atom. The value obtained for the uncorrected formation energy is -0.057 eV/atom. The density of states at the Fermi level is 0.445 states/eV/atom. The volume is 24.99 Å³/atom. The calculation puts the calculated total energy at -3.54 eV/atom.

Structure (CIF):
```
data_LiGe2Te2
_chemical_formula_sum 'Li2 Ge4 Te4'
_cell_length_a 7.9201
_cell_length_b 7.9201
_cell_length_c 3.9834
_cell_angle_alpha 90.00
_cell_angle_beta 90.00
_cell_angle_gamma 90.00
_space_group_name_H-M_alt 'P 1'
_space_group_IT_number 1
_space_group_name_Hall 'P 1'
loop_
_atom_site_label
_atom_site_type_symbol
_atom_site_fract_x
_atom_site_fract_y
_atom_site_fract_z
Ge1 Ge 0.3708 0.8708 0.0000
Ge2 Ge 0.8708 0.6292 0.0000
Ge3 Ge 0.6292 0.1292 0.0000
Ge4 Ge 0.1292 0.3708 0.0000
Te1 Te 0.1880 0.6880 0.5000
Te2 Te 0.6880 0.8120 0.5000
Te3 Te 0.8120 0.3120 0.5000
Te4 Te 0.3120 0.1880 0.5000
Li1 Li 0.0000 0.0000 0.0000
Li2 Li 0.5000 0.5000 0.0000
```

***

## Ni4Pt5W (PBE-GGA)

Data for crystalline Ni4Pt5W at its relaxed geometry.

Properties
The value obtained for the energy above the lowest structure with this stoichiometry is 0.000 eV per atom. The density of states at the Fermi level is 1.442 states/eV/atom. The volume is 13.90 Å³/atom. Its energy relative to the elements is -140 meV per atom. The calculation puts the calculated total energy at -6.77 eV/atom.

Structure (CIF):
```
data_Ni4Pt5W
_chemical_formula_sum 'Ni4 Pt5 W1'
_cell_length_a 2.7390
_cell_length_b 2.7390
_cell_length_c 18.5309
_cell_angle_alpha 90.00
_cell_angle_beta 90.00
_cell_angle_gamma 90.00
_space_group_name_H-M_alt 'P 1'
_space_group_IT_number 1
_space_group_name_Hall 'P 1'
loop_
_atom_site_label
_atom_site_type_symbol
_atom_site_fract_x
_atom_site_fract_y
_atom_site_fract_z
Ni1 Ni 0.0000 0.0000 0.2090
Ni2 Ni 0.0000 0.0000 0.4024
Ni3 Ni 0.0000 0.0000 0.5976
Ni4 Ni 0.0000 0.0000 0.7910
Pt1 Pt 0.5000 0.5000 0.1070
Pt2 Pt 0.5000 0.5000 0.3053
Pt3 Pt 0.5000 0.5000 0.5000
Pt4 Pt 0.5000 0.5000 0.6947
Pt5 Pt 0.5000 0.5000 0.8930
W1 W 0.0000 0.0000 0.0000
```

***

## LiNbReSi2 (PBE-GGA)

Data for crystalline LiNbReSi2 at its relaxed geometry.

Properties
The value obtained for the uncorrected formation energy is 1.038 eV/atom. The density of states at the Fermi level is 0.975 states/eV/atom. The volume is 14.43 Å³/atom. The calculation puts the calculated total energy at -6.02 eV/atom.

Structure (CIF):
```
data_LiNbReSi2
_chemical_formula_sum 'Li1 Nb1 Re1 Si2'
_cell_length_a 4.0867
_cell_length_b 4.3208
_cell_length_c 4.0867
_cell_angle_alpha 90.00
_cell_angle_beta 90.00
_cell_angle_gamma 90.00
_space_group_name_H-M_alt 'P 1'
_space_group_IT_number 1
_space_group_name_Hall 'P 1'
loop_
_atom_site_label
_atom_site_type_symbol
_atom_site_fract_x
_atom_site_fract_y
_atom_site_fract_z
Re1 Re 0.5000 0.5000 0.5000
Nb1 Nb 0.0000 0.5000 0.0000
Si1 Si 0.0000 0.0000 0.5000
Si2 Si 0.5000 0.0000 0.0000
Li1 Li 0.0000 0.0000 0.0000
```

***

Number 1 is which compound?
Cu5GeTe4I2

***

The highest density of states at the Fermi level belongs to which entry?
Ni4Pt5W

***

Which of these has the lowest calculated total energy?
V2B4Mo

***

What did the seventh record say?
## Ni4Pt5W (PBE-GGA)

Data for crystalline Ni4Pt5W at its relaxed geometry.

Properties
The value obtained for the energy above the lowest structure with this stoichiometry is 0.000 eV per atom. The density of states at the Fermi level is 1.442 states/eV/atom. The volume is 13.90 Å³/atom. Its energy relative to the elements is -140 meV per atom. The calculation puts the calculated total energy at -6.77 eV/atom.

Structure (CIF):
```
data_Ni4Pt5W
_chemical_formula_sum 'Ni4 Pt5 W1'
_cell_length_a 2.7390
_cell_length_b 2.7390
_cell_length_c 18.5309
_cell_angle_alpha 90.00
_cell_angle_beta 90.00
_cell_angle_gamma 90.00
_space_group_name_H-M_alt 'P 1'
_space_group_IT_number 1
_space_group_name_Hall 'P 1'
loop_
_atom_site_label
_atom_site_type_symbol
_atom_site_fract_x
_atom_site_fract_y
_atom_site_fract_z
Ni1 Ni 0.0000 0.0000 0.2090
Ni2 Ni 0.0000 0.0000 0.4024
Ni3 Ni 0.0000 0.0000 0.5976
Ni4 Ni 0.0000 0.0000 0.7910
Pt1 Pt 0.5000 0.5000 0.1070
Pt2 Pt 0.5000 0.5000 0.3053
Pt3 Pt 0.5000 0.5000 0.5000
Pt4 Pt 0.5000 0.5000 0.6947
Pt5 Pt 0.5000 0.5000 0.8930
W1 W 0.0000 0.0000 0.0000
```